1.
Below is crystalline YHSe at its relaxed geometry, with properties calculated at the GGA-PBE level.

Results
Energy relative to the lowest polymorph listed for this composition (eV/atom): 0.171
Spin magnetization (Bohr magnetons per cell): 0.0
Total DFT energy (no corrections) (Ha/atom): -0.2100

Cell lengths 3.833, 6.922, 5.689 Å; angles 127.62, 109.69, 90.00 degrees
Positions (direct):
1 H 0.300 0.942 0.600
2 H 0.700 0.058 0.400
3 Se 0.951 0.681 0.901
4 Se 0.049 0.319 0.099
5 Y 0.715 0.757 0.430
6 Y 0.285 0.243 0.570

2.
Below is crystalline Tb3Er2PuS6 at its relaxed geometry, with properties calculated at the GGA-PBE level.

Results
Spin magnetization (Bohr magnetons per cell): 5.9
ΔE_f (raw) (meV/atom): -1975
Total DFT energy (no corrections) (Ha/atom): -0.2628

Cell lengths 3.892, 7.848, 8.744 Å; angles 102.97, 102.86, 90.00 degrees
Site moments in Bohr magnetons follow the coordinates.
Positions (direct):
1 Tb 0.835 0.164 0.671  -0.03
2 Tb 0.165 0.836 0.329  -0.03
3 Tb 0.500 0.500 0.000  0.00
4 Pu 0.500 0.000 0.000  -5.35
5 Er 0.836 0.672 0.672  -0.05
6 Er 0.164 0.328 0.328  -0.05
7 S 0.331 0.420 0.662  -0.01
8 S 0.669 0.580 0.338  -0.01
9 S 0.668 0.088 0.337  0.02
10 S 0.001 0.252 0.003  0.04
11 S 0.999 0.748 0.997  0.04
12 S 0.332 0.912 0.663  0.02

3.
Below is crystalline BaAlSn at its relaxed geometry, with properties calculated at the GGA-PBE level.

Results
Spin magnetization (Bohr magnetons per cell): 0.0
Total DFT energy (no corrections) (Ha/atom): -0.1348
Calculated formation energy (eV per atom): -0.445

Cell lengths 4.698, 6.998, 6.998 Å; angles 71.55, 70.39, 70.39 degrees
Positions (direct):
1 Sn 0.000 0.320 0.680
2 Sn 0.000 0.680 0.320
3 Al 0.500 0.845 0.155
4 Al 0.500 0.155 0.845
5 Ba 0.742 0.258 0.258
6 Ba 0.258 0.742 0.742

4.
Below is crystalline LiNdTmS3 at its relaxed geometry, with properties calculated at the GGA-PBE level.

Results
Spin magnetization (Bohr magnetons per cell): 0.0
ΔE_f (raw) (meV/atom): -1822
Total DFT energy (no corrections) (Ha/atom): -0.2111

Cell lengths 3.844, 8.065, 8.423 Å; angles 103.09, 90.00, 90.00 degrees
Positions (direct):
1 S 0.750 0.218 0.503
2 S 0.750 0.899 0.133
3 S 0.250 0.782 0.497
4 S 0.750 0.434 0.169
5 S 0.250 0.566 0.831
6 S 0.250 0.101 0.867
7 Tm 0.250 0.665 0.164
8 Tm 0.750 0.335 0.836
9 Nd 0.750 0.810 0.776
10 Nd 0.250 0.190 0.224
11 Li 0.750 0.913 0.415
12 Li 0.250 0.087 0.585

5.
Below is crystalline SrPrCuIr at its relaxed geometry, with properties calculated at the GGA-PBE level.

Results
Spin magnetization (Bohr magnetons per cell): 0.0
Total DFT energy (no corrections) (Ha/atom): -0.1854
Calculated formation energy (eV per atom): -0.189

Cell lengths 5.112, 5.112, 5.112 Å; angles 60.00, 60.00, 60.00 degrees
Positions (direct):
1 Sr 0.500 0.500 0.500
2 Cu 0.250 0.250 0.250
3 Ir 0.750 0.750 0.750
4 Pr 0.000 0.000 0.000

6.
Below is crystalline ScCu2Re at its relaxed geometry, with properties calculated at the GGA-PBE level.

Results
Energy relative to the lowest polymorph listed for this composition (eV/atom): 0.029
Spin magnetization (Bohr magnetons per cell): 0.0
Total DFT energy (no corrections) (Ha/atom): -0.2433
Calculated formation energy (eV per atom): 0.122

Cell lengths 2.753, 2.753, 7.805 Å; angles 90.00, 90.00, 89.89 degrees
Positions (direct):
1 Cu 0.500 0.500 0.240
2 Cu 0.000 0.000 0.027
3 Re 0.000 0.000 0.473
4 Sc 0.500 0.500 0.760

7.
Below is crystalline BaNbIr3 at its relaxed geometry, with properties calculated at the GGA-PBE level.

Results
Energy relative to the lowest polymorph listed for this composition (eV/atom): 0.000
Spin magnetization (Bohr magnetons per cell): 0.0
Total DFT energy (no corrections) (Ha/atom): -0.2608
Calculated formation energy (eV per atom): 0.618

Cell lengths 4.925, 4.925, 4.925 Å; angles 90.00, 90.00, 90.00 degrees
Positions (direct):
1 Ba 0.500 0.500 0.500
2 Nb 0.000 0.000 0.000
3 Ir 0.500 0.000 0.000
4 Ir 0.000 0.500 0.000
5 Ir 0.000 0.000 0.500

8.
Below is crystalline Ho3Th2Sc8 at its relaxed geometry, with properties calculated at the GGA-PBE level.

Results
Spin magnetization (Bohr magnetons per cell): 0.0
Total DFT energy (no corrections) (Ha/atom): -0.2134
Calculated formation energy (eV per atom): 0.286

Cell lengths 6.161, 6.161, 11.853 Å; angles 74.94, 74.94, 60.00 degrees
Positions (direct):
1 Sc 0.225 0.727 0.321
2 Sc 0.775 0.273 0.679
3 Sc 0.273 0.775 0.679
4 Sc 0.727 0.727 0.321
5 Sc 0.273 0.273 0.679
6 Sc 0.727 0.225 0.321
7 Sc 0.726 0.726 0.821
8 Sc 0.274 0.274 0.179
9 Ho 0.186 0.186 0.443
10 Ho 0.000 0.000 0.000
11 Ho 0.814 0.814 0.557
12 Th 0.364 0.364 0.909
13 Th 0.636 0.636 0.091

How do the records compare in DOS at the Fermi energy? In the order shown, they have 0.0; 7.0; 2.9; 3.7; 2.7; 3.2; 15.7; 24.5 states/eV/cell.